[1]
Here is a relaxed structure of La8Zn2Ag from Alexandria via LeMat-Bulk. Energies are from PBE.

Calculated values
ΔE to the lowest computed polymorph, eV per atom: 0.000
Theoretical density, Mg/m³: 6.5
D(E_F), states/eV per cell: 11.8
Final energy, eV per atom: -4.21
Space-group type: C2/m (12)
Volume, Å³/f.u.: 347

a = 5.295 Å, b = 7.138 Å, c = 9.822 Å
α = 103.38°, β = 105.64°, γ = 90.00°
Fractional coordinates of all 11 atoms:
La  0.410  0.542  0.819
La  0.973  0.232  0.946
La  0.027  0.768  0.054
La  0.198  0.311  0.397
Zn  0.189  0.731  0.377
Zn  0.811  0.269  0.623
La  0.665  0.963  0.331
La  0.335  0.037  0.669
La  0.802  0.689  0.603
La  0.590  0.458  0.181
Ag  0.500  0.000  0.000


[2]
Here is a relaxed structure of TbCe12Th3 from Alexandria via LeMat-Bulk. Energies are from PBE.

Calculated values
Theoretical density, Mg/m³: 9.4
D(E_F), states/eV per cell: 35.8
Final energy, eV per atom: -6.10
Space-group type: P4/mmm (123)
Volume, Å³/f.u.: 447

a = 4.807 Å, b = 4.807 Å, c = 19.358 Å
α = 90.00°, β = 90.00°, γ = 90.00°
Fractional coordinates of all 16 atoms:
Ce  0.500  0.000  0.625
Tb  0.000  0.000  0.000
Th  0.000  0.000  0.500
Ce  0.500  0.000  0.126
Ce  0.000  0.500  0.126
Ce  0.500  0.000  0.375
Ce  0.000  0.500  0.375
Ce  0.000  0.500  0.874
Ce  0.500  0.500  0.749
Ce  0.000  0.500  0.625
Th  0.000  0.000  0.250
Th  0.000  0.000  0.750
Ce  0.500  0.000  0.874
Ce  0.500  0.500  0.500
Ce  0.500  0.500  0.251
Ce  0.500  0.500  0.000


[3]
Here is a relaxed structure of SmEuCl2 from Alexandria via LeMat-Bulk. Energies are from PBE.

Calculated values
Formation energy without anion corrections, eV per atom: -1.408
Theoretical density, Mg/m³: 5.3
D(E_F), states/eV per cell: 2.8
Final energy, eV per atom: -6.08
Space-group type: R-3m (166)
Volume, Å³/f.u.: 118

a = 3.727 Å, b = 3.727 Å, c = 10.007 Å
α = 79.27°, β = 79.27°, γ = 60.00°
Each line ends with the local moment (μB).
Fractional coordinates of all 4 atoms:
Sm  0.500  0.500  0.500  -0.03
Cl  0.099  0.099  0.702  0.01
Eu  0.000  0.000  0.000  -7.04
Cl  0.901  0.901  0.298  0.01


[4]
Here is a relaxed structure of Rb2Ac2PaS6 from Alexandria via LeMat-Bulk. Energies are from PBE.

Calculated values
Formation energy without anion corrections, eV per atom: -1.801
Theoretical density, Mg/m³: 4.6
D(E_F), states/eV per cell: 0.8
Final energy, eV per atom: -5.84
Space-group type: C2/m (12)
Volume, Å³/f.u.: 382

a = 7.476 Å, b = 7.476 Å, c = 8.225 Å
α = 98.76°, β = 98.76°, γ = 119.28°
Each line ends with the local moment (μB).
Fractional coordinates of all 11 atoms:
S  0.760  0.760  0.692  -0.01
S  0.940  0.627  0.310  -0.01
Ac  0.335  0.665  0.500  0.01
Ac  0.665  0.335  0.500  0.01
S  0.627  0.940  0.310  -0.01
Rb  0.832  0.168  0.000  0.00
Pa  0.000  0.000  0.500  0.98
S  0.373  0.060  0.690  -0.01
Rb  0.168  0.832  0.000  0.00
S  0.060  0.373  0.690  -0.01
S  0.240  0.240  0.308  -0.01


[5]
Here is a relaxed structure of Sm3Y3Ho from Alexandria via LeMat-Bulk. Energies are from PBE.

Calculated values
ΔE to the lowest computed polymorph, eV per atom: 0.078
Theoretical density, Mg/m³: 6.1
D(E_F), states/eV per cell: 23.0
Final energy, eV per atom: -5.21
Space-group type: R-3 (148)
Volume, Å³/f.u.: 238

a = 8.736 Å, b = 8.736 Å, c = 8.803 Å
α = 60.25°, β = 60.25°, γ = 60.00°
Fractional coordinates of all 14 atoms:
Sm  0.821  0.292  0.824
Y  0.569  0.724  0.644
Y  0.276  0.937  0.356
Y  0.063  0.569  0.644
Y  0.724  0.063  0.644
Sm  0.179  0.708  0.176
Sm  0.063  0.821  0.824
Sm  0.708  0.937  0.176
Sm  0.292  0.063  0.824
Y  0.431  0.276  0.356
Ho  0.650  0.650  0.051
Y  0.937  0.431  0.356
Sm  0.937  0.179  0.176
Ho  0.350  0.350  0.949


[6]
Here is a relaxed structure of Li2TmSc from Alexandria via LeMat-Bulk. Energies are from PBE.

Calculated values
ΔE to the lowest computed polymorph, eV per atom: 0.004
Theoretical density, Mg/m³: 4.2
D(E_F), states/eV per cell: 4.0
Final energy, eV per atom: -3.47
Space-group type: Fm-3m (225)
Volume, Å³/f.u.: 91

a = 5.047 Å, b = 5.047 Å, c = 5.047 Å
α = 60.00°, β = 60.00°, γ = 60.00°
Fractional coordinates of all 4 atoms:
Sc  0.500  0.500  0.500
Li  0.250  0.250  0.250
Li  0.750  0.750  0.750
Tm  0.000  0.000  0.000


[7]
Here is a relaxed structure of Re2HI from Alexandria via LeMat-Bulk. Energies are from PBE.

Calculated values
ΔE to the lowest computed polymorph, eV per atom: 0.000
Theoretical density, Mg/m³: 13.4
D(E_F), states/eV per cell: 9.3
Final energy, eV per atom: -6.37
Space-group type: I-42d (122)
Volume, Å³/f.u.: 62

a = 5.012 Å, b = 5.012 Å, c = 6.072 Å
α = 65.62°, β = 65.62°, γ = 90.00°
Fractional coordinates of all 8 atoms:
I  0.000  0.000  0.000
I  0.750  0.250  0.500
H  0.500  0.500  0.000
Re  0.375  0.524  0.750
H  0.250  0.750  0.500
Re  0.875  0.726  0.750
Re  0.274  0.625  0.250
Re  0.476  0.125  0.250


[8]
Here is a relaxed structure of ScGa6Cu12 from Alexandria via LeMat-Bulk. Energies are from PBE.

Calculated values
Theoretical density, Mg/m³: 7.3
D(E_F), states/eV per cell: 4.2
Final energy, eV per atom: -3.89
Space-group type: R-3m (166)
Volume, Å³/f.u.: 280

a = 6.829 Å, b = 6.829 Å, c = 6.829 Å
α = 104.73°, β = 104.73°, γ = 104.73°
Fractional coordinates of all 19 atoms:
Ga  0.299  0.711  0.711
Ga  0.711  0.711  0.299
Cu  0.639  0.882  0.639
Cu  0.118  0.361  0.361
Sc  0.000  0.000  0.000
Ga  0.289  0.289  0.701
Cu  0.888  0.500  0.112
Cu  0.888  0.112  0.500
Ga  0.701  0.289  0.289
Cu  0.500  0.888  0.112
Cu  0.361  0.118  0.361
Cu  0.639  0.639  0.882
Cu  0.112  0.888  0.500
Cu  0.500  0.112  0.888
Cu  0.112  0.500  0.888
Cu  0.361  0.361  0.118
Ga  0.711  0.299  0.711
Ga  0.289  0.701  0.289
Cu  0.882  0.639  0.639


[9]
Here is a relaxed structure of CuRe3S from Alexandria via LeMat-Bulk. Energies are from PBE.

Calculated values
ΔE to the lowest computed polymorph, eV per atom: 0.000
Formation energy without anion corrections, eV per atom: 1.118
Theoretical density, Mg/m³: 13.4
D(E_F), states/eV per cell: 2.8
Final energy, eV per atom: -8.00
Space-group type: Pm-3m (221)
Volume, Å³/f.u.: 81

a = 4.327 Å, b = 4.327 Å, c = 4.327 Å
α = 90.00°, β = 90.00°, γ = 90.00°
Fractional coordinates of all 5 atoms:
Re  0.500  0.000  0.000
Re  0.000  0.000  0.500
Cu  0.500  0.500  0.500
Re  0.000  0.500  0.000
S  0.000  0.000  0.000


[10]
Here is a relaxed structure of MgSc2Re from Alexandria via LeMat-Bulk. Energies are from PBE.

Calculated values
Theoretical density, Mg/m³: 6.6
D(E_F), states/eV per cell: 5.8
Final energy, eV per atom: -6.48
Space-group type: F-43m (216)
Volume, Å³/f.u.: 75

a = 4.738 Å, b = 4.738 Å, c = 4.738 Å
α = 60.00°, β = 60.00°, γ = 60.00°
Fractional coordinates of all 4 atoms:
Mg  0.500  0.500  0.500
Sc  0.000  0.000  0.000
Sc  0.250  0.250  0.250
Re  0.750  0.750  0.750


[11]
Here is a relaxed structure of NdLuOs from Alexandria via LeMat-Bulk. Energies are from PBE.

Calculated values
ΔE to the lowest computed polymorph, eV per atom: 0.034
Theoretical density, Mg/m³: 10.7
D(E_F), states/eV per cell: 1.9
Final energy, eV per atom: -6.98
Space-group type: F-43m (216)
Volume, Å³/f.u.: 79

a = 4.811 Å, b = 4.811 Å, c = 4.811 Å
α = 60.00°, β = 60.00°, γ = 60.00°
Fractional coordinates of all 3 atoms:
Nd  0.500  0.500  0.500
Lu  0.000  0.000  0.000
Os  0.250  0.250  0.250


[12]
Here is a relaxed structure of Tc2AgMo from Alexandria via LeMat-Bulk. Energies are from PBE.

Calculated values
ΔE to the lowest computed polymorph, eV per atom: 0.047
Theoretical density, Mg/m³: 10.5
D(E_F), states/eV per cell: 4.5
Final energy, eV per atom: -8.29
Space-group type: R-3m (166)
Volume, Å³/f.u.: 63

a = 9.456 Å, b = 9.456 Å, c = 9.456 Å
α = 16.99°, β = 16.99°, γ = 16.99°
Fractional coordinates of all 4 atoms:
Mo  0.750  0.750  0.750
Tc  0.495  0.495  0.495
Tc  0.005  0.005  0.005
Ag  0.250  0.250  0.250


[13]
Here is a relaxed structure of HgMoIN2 from Alexandria via LeMat-Bulk. Energies are from PBE.

Calculated values
ΔE to the lowest computed polymorph, eV per atom: 0.000
Formation energy without anion corrections, eV per atom: 0.681
Theoretical density, Mg/m³: 7.8
D(E_F), states/eV per cell: 2.5
Final energy, eV per atom: -5.19
Space-group type: P4/mmm (123)
Volume, Å³/f.u.: 96

a = 4.039 Å, b = 4.039 Å, c = 5.884 Å
α = 90.00°, β = 90.00°, γ = 90.00°
Fractional coordinates of all 5 atoms:
N  0.000  0.500  0.000
I  0.000  0.000  0.500
Hg  0.500  0.500  0.500
N  0.500  0.000  0.000
Mo  0.000  0.000  0.000


[14]
Here is a relaxed structure of TcNiHg2 from Alexandria via LeMat-Bulk. Energies are from PBE.

Calculated values
ΔE to the lowest computed polymorph, eV per atom: 0.279
Theoretical density, Mg/m³: 13.6
D(E_F), states/eV per cell: 4.5
Final energy, eV per atom: -3.58
Space-group type: C2/m (12)
Volume, Å³/f.u.: 68

a = 4.840 Å, b = 4.840 Å, c = 5.272 Å
α = 79.61°, β = 79.61°, γ = 34.23°
Fractional coordinates of all 4 atoms:
Hg  0.493  0.493  0.507
Tc  0.250  0.250  0.250
Ni  0.750  0.750  0.750
Hg  0.007  0.007  0.993


[15]
Here is a relaxed structure of BaGeI2O from Alexandria via LeMat-Bulk. Energies are from PBE.

Calculated values
ΔE to the lowest computed polymorph, eV per atom: 0.627
Formation energy without anion corrections, eV per atom: -0.367
Theoretical density, Mg/m³: 3.9
D(E_F), states/eV per cell: 2.9
Final energy, eV per atom: -3.29
Space-group type: P4/mmm (123)
Volume, Å³/f.u.: 204

a = 6.745 Å, b = 6.745 Å, c = 4.479 Å
α = 90.00°, β = 90.00°, γ = 90.00°
Each line ends with the local moment (μB).
Fractional coordinates of all 5 atoms:
Ba  0.000  0.000  0.000  0.00
I  0.500  0.000  0.000  -0.02
Ge  0.500  0.500  0.500  0.31
I  0.000  0.500  0.000  -0.02
O  0.000  0.000  0.500  0.00